Entry from Alexandria via LeMat-Bulk: a geometry-optimized NaTaRh2O structure (PBEsol).

Unit cell a=4.515 b=4.515 c=3.671 alpha=90.00 beta=90.00 gamma=90.00
Space group P4/mmm (No. 123)
Inequivalent atoms, fractional coordinates:
1 Na 0.000 0.000 0.000 (multiplicity 1)
2 Ta 0.500 0.500 0.500 (multiplicity 1)
3 Rh 0.000 0.500 0.000 (multiplicity 2)
4 O 0.000 0.000 0.500 (multiplicity 1)

Results
The value obtained for the formation energy (no corrections) is 1.292 eV per atom. For the density, the calculation gives 9.45 g cm⁻³. The value obtained for the total energy is -0.42653 Ry/atom.